Tb6Dy5Tm | PBE-GGA | optimized geometry

a = 4.9982 Å, b = 10.0122 Å, c = 15.0271 Å
α = 90.00°, β = 90.00°, γ = 90.00°
Last column: nearest neighbours and their distance in Å.
Space group Immm (No. 71)
Unique sites:
Tb 0.0000 0.2493 0.0000 x4  2 Tm 3.53, 6 Dy 3.53-3.55, 4 Tb 3.54
Tb 0.0000 0.2504 0.3334 x8  7 Dy 3.53-3.55, 1 Tm 3.54, 4 Tb 3.54
Dy 0.0000 0.0000 0.1663 x4  8 Tb 3.53-3.55, 2 Tm 3.53, 2 Dy 3.54
Dy 0.0000 0.0000 0.5000 x2  4 Dy 3.54, 8 Tb 3.54
Dy 0.0000 0.5000 0.1666 x4  4 Dy 3.54, 8 Tb 3.54-3.55
Tm 0.0000 0.5000 0.5000 x2  8 Tb 3.53-3.54, 4 Dy 3.53

- Spin magnetization: 0.0 μB per cell
- Energy of formation: 17 meV/atom
- Volume: 752 Å³/cell

***

Cs3K4Na3 | PBE-GGA | optimized geometry

a = 4.7743 Å, b = 16.9087 Å, c = 17.7937 Å
α = 90.00°, β = 90.00°, γ = 90.00°
Last column: nearest neighbours and their distance in Å.
Space group Amm2 (No. 38)
Unique sites:
Cs 0.0000 0.0000 0.0000 x2  6 K 4.77-4.86, 6 Cs 4.77-5.18
Cs 0.5000 0.2417 0.4185 x4  2 K 4.42-4.49, 2 Cs 4.77, 2 Na 4.88
K 0.5000 0.0000 0.5225 x2  6 Na 4.17-4.29, 1 K 4.26, 2 Cs 4.49
K 0.5000 0.0000 0.7619 x2  4 Na 4.21, 1 K 4.26
K 0.5000 0.1428 0.1886 x4  4 Na 4.10-4.23, 1 Cs 4.42
Na 0.0000 0.0000 0.3303 x2  6 K 4.17-4.23
Na 0.0000 0.1653 0.6467 x4  6 K 4.10-4.29

- Spin magnetization: 0.0 μB per cell
- Energy of formation: 44 meV/atom
- Volume: 1436 Å³/cell

***

ScNbCd2Re | PBE-GGA | optimized geometry

a = 5.0424 Å, b = 5.0424 Å, c = 4.4833 Å
α = 90.00°, β = 90.00°, γ = 90.00°
Last column: nearest neighbours and their distance in Å.
Space group P4/mmm (No. 123)
Unique sites:
Sc 0.0000 0.0000 0.0000 x1  2 Nb 2.24
Nb 0.0000 0.0000 0.5000 x1  2 Sc 2.24
Cd 0.0000 0.5000 0.0000 x2  2 Sc 2.52
Re 0.5000 0.5000 0.5000 x1  8 Cd 3.37, 4 Nb 3.57

- Spin magnetization: 0.0 μB per cell
- Energy of formation: 2079 meV/atom
- Volume: 114 Å³/cell

***

Ca2UCuO6 | PBE-GGA | optimized geometry

a = 10.5908 Å, b = 5.5729 Å, c = 5.4271 Å
α = 90.00°, β = 118.51°, γ = 90.00°
Last column: nearest neighbours and their distance in Å.
Space group C2/m (No. 12)
Unique sites:
Ca 0.2478 0.0000 0.1950 x4  5 O 2.28-2.40
U 0.0000 0.0000 0.5000 x2  6 O 1.98-2.16
Cu 0.0000 0.5000 0.0000 x2  4 O 1.98
O 0.0760 0.2583 0.8374 x8  1 Cu 1.98, 1 U 2.16
O 0.1999 0.0000 0.5616 x4  1 U 1.98

- Formation energy (no corrections): -2.60 eV per atom
- Spin magnetization: 2.0 μB per cell
- Volume: 281 Å³/cell

***

NbCr3S | PBE-GGA | optimized geometry

a = 4.1564 Å, b = 4.1564 Å, c = 4.1564 Å
α = 90.00°, β = 90.00°, γ = 90.00°
Last column: nearest neighbours and their distance in Å.
Space group Pm-3m (No. 221)
Unique sites:
Nb 0.0000 0.0000 0.0000 x1  12 Cr 2.94
Cr 0.0000 0.5000 0.5000 x3  2 S 2.08
S 0.5000 0.5000 0.5000 x1  6 Cr 2.08

- Formation energy (no corrections): 0.29 eV per atom
- Spin magnetization: 1.9 μB per cell
- Volume: 72 Å³/cell
- Energy above the most stable polymorph in this dataset: 0.000 eV per formula unit

***

Mg3CoNi | PBE-GGA | optimized geometry

a = 4.6446 Å, b = 4.6446 Å, c = 4.6446 Å
α = 90.00°, β = 90.00°, γ = 90.00°
Last column: nearest neighbours and their distance in Å.
Space group Pm-3m (No. 221)
Unique sites:
Mg 0.0000 0.0000 0.5000 x3  2 Co 2.32
Co 0.0000 0.0000 0.0000 x1  6 Mg 2.32
Ni 0.5000 0.5000 0.5000 x1  12 Mg 3.28

- Spin magnetization: 0.0 μB per cell
- Energy of formation: 667 meV/atom
- Volume: 100 Å³/cell
- Energy above the most stable polymorph in this dataset: 0.414 eV per formula unit

***

PmDyP2 | PBE-GGA | optimized geometry

a = 4.0272 Å, b = 4.0272 Å, c = 7.0635 Å
α = 90.00°, β = 90.00°, γ = 120.00°
Last column: nearest neighbours and their distance in Å.
Space group P-3m1 (No. 164)
Unique sites:
Pm 0.0000 0.0000 0.0000 x1  6 P 2.95
Dy 0.0000 0.0000 0.5000 x1  6 P 2.89
P 0.3333 0.6667 0.7425 x2  3 Dy 2.89, 3 Pm 2.95

- Spin magnetization: 0.0 μB per cell
- Energy of formation: -1377 meV/atom
- Volume: 99 Å³/cell
- Energy above the most stable polymorph in this dataset: 0.834 eV per formula unit

***

Y6TlSi2S3 | PBE-GGA | optimized geometry

a = 18.0752 Å, b = 4.0390 Å, c = 8.2803 Å
α = 90.00°, β = 108.05°, γ = 90.00°
Last column: nearest neighbours and their distance in Å.
Space group C2/m (No. 12)
Unique sites:
Y 0.0052 0.0000 0.2269 x4  3 S 2.74-2.79, 1 Si 2.91, 2 Tl 3.06
Y 0.1699 0.5000 0.0717 x4  3 Si 2.88-2.90, 3 S 2.92-2.94
Y 0.1748 0.5000 0.5816 x4  3 S 2.71-2.90, 2 Si 2.88, 1 Tl 3.02
Tl 0.0000 0.5000 0.5000 x2  6 Y 3.02-3.06
Si 0.1612 0.0000 0.8186 x4  6 Y 2.88-2.91
S 0.0000 0.5000 0.0000 x2  6 Y 2.74-2.94
S 0.1675 0.0000 0.3251 x4  6 Y 2.71-2.92

- Formation energy (no corrections): -1.29 eV per atom
- Spin magnetization: 0.0 μB per cell
- Volume: 575 Å³/cell

***

Zn2OsRh | PBE-GGA | optimized geometry

a = 2.7384 Å, b = 2.7384 Å, c = 7.7032 Å
α = 90.00°, β = 90.00°, γ = 90.00°
Last column: nearest neighbours and their distance in Å.
Space group P4mm (No. 99)
Unique sites:
Zn 0.0000 0.0000 0.0000 x1  4 Rh 2.72, 8 Zn 2.74-2.83
Zn 0.5000 0.5000 0.2682 x1  8 Zn 2.74-2.83, 4 Os 2.74
Os 0.0000 0.0000 0.5198 x1  4 Rh 2.64, 4 Os 2.74, 4 Zn 2.74
Rh 0.5000 0.5000 0.7521 x1  4 Os 2.64, 4 Zn 2.72, 4 Rh 2.74

- Spin magnetization: 0.0 μB per cell
- Energy of formation: -3 meV/atom
- Volume: 58 Å³/cell
- Energy above the most stable polymorph in this dataset: 0.034 eV per formula unit

***

K4LiNp3O12 | PBE-GGA | optimized geometry

a = 8.5731 Å, b = 8.5731 Å, c = 8.5731 Å
α = 90.00°, β = 90.00°, γ = 90.00°
Last column: nearest neighbours and their distance in Å.
Space group Im-3m (No. 229)
Unique sites:
K 0.2500 0.2500 0.2500 x8  12 O 3.03-3.04
Li 0.0000 0.0000 0.0000 x2  6 O 2.38
Np 0.0000 0.0000 0.5000 x6  2 O 1.90
O 0.0000 0.0000 0.2779 x12  1 Np 1.90
O 0.0000 0.2500 0.5000 x12  2 Np 2.14

- Formation energy (no corrections): -2.51 eV per atom
- Spin magnetization: 4.0 μB per cell
- Volume: 630 Å³/cell

***

AlH2Se | PBE-GGA | optimized geometry

a = 4.3111 Å, b = 2.6344 Å, c = 5.0905 Å
α = 90.00°, β = 110.48°, γ = 90.00°
Last column: nearest neighbours and their distance in Å.
Space group P2/m (No. 10)
Unique sites:
Al 0.0000 0.0000 0.0000 x1  4 H 1.75
H 0.2865 0.5000 0.0870 x2  2 Al 1.75
Se 0.0000 0.0000 0.5000 x1  2 Al 2.55, 2 Se 2.63

- Spin magnetization: 0.0 μB per cell
- Volume: 54 Å³/cell
- Energy above the most stable polymorph in this dataset: 0.000 eV per formula unit

***

HgP2Os | PBE-GGA | optimized geometry

a = 6.3983 Å, b = 6.3983 Å, c = 6.3983 Å
α = 90.00°, β = 90.00°, γ = 90.00°
Last column: nearest neighbours and their distance in Å.
Space group F-43m (No. 216)
Unique sites:
Hg 0.0000 0.0000 0.0000 x4  4 Os 2.77, 4 P 2.77
P 0.0000 0.0000 0.5000 x4  4 Os 2.77, 4 P 2.77
P 0.2500 0.2500 0.2500 x4  4 Hg 2.77, 4 P 2.77
Os 0.2500 0.2500 0.7500 x4  4 Hg 2.77, 4 P 2.77

- Spin magnetization: 0.0 μB per cell
- Energy of formation: 1115 meV/atom
- Volume: 262 Å³/cell

***

SrRhSe2N | PBE-GGA | optimized geometry

a = 5.6876 Å, b = 5.6876 Å, c = 4.3636 Å
α = 90.00°, β = 90.00°, γ = 90.00°
Last column: nearest neighbours and their distance in Å.
Space group P4/mmm (No. 123)
Unique sites:
Sr 0.0000 0.0000 0.0000 x1  2 N 2.18
Rh 0.5000 0.5000 0.5000 x1  8 Se 3.58
Se 0.0000 0.5000 0.0000 x2  2 Sr 2.84
N 0.0000 0.0000 0.5000 x1  2 Sr 2.18

- Formation energy (no corrections): 1.48 eV per atom
- Spin magnetization: 1.8 μB per cell
- Volume: 141 Å³/cell
- Energy above the most stable polymorph in this dataset: 9.669 eV per formula unit